No. 1
NbSiB3: single point on PBEsol structure, meta-GGA SCAN.

The structure in POSCAR format:
```
NbSiB3
1.0
-1.167 -2.746 2.404
-0.054 -2.511 -2.894
3.649 -0.915 0.726
Nb B Si
1 3 1
Direct
0.500 0.500 0.500
0.000 0.500 0.000
0.000 0.000 0.500
0.500 0.000 0.000
0.000 0.000 0.000
```

## Properties
The uncorrected formation energy is 1.35 eV/atom. The calculation puts the excess energy over the best structure of this formula in the dataset at 0.000 eV/atom.

No. 2
IrRhW2: single point on PBEsol structure, meta-GGA SCAN.

The structure in POSCAR format:
```
IrRhW2
1.0
2.739 0.000 0.000
0.000 4.756 -0.001
0.000 -1.604 4.477
Ir Rh W
1 1 2
Direct
0.500 0.500 0.500
0.500 0.000 0.000
0.000 0.000 0.500
0.000 0.500 0.000
```

## Properties
The calculation puts the formation energy at -1.13 eV per formula unit. The calculation puts the excess energy over the best structure of this formula in the dataset at 0.004 eV/atom.

No. 3
HfCd3Mo: single point on PBEsol structure, meta-GGA SCAN.

The structure in POSCAR format:
```
HfCd3Mo
1.0
5.003 0.000 0.000
0.000 5.003 0.000
0.000 0.000 5.003
Mo Hf Cd
1 1 3
Direct
0.000 0.000 0.000
0.500 0.500 0.500
0.000 0.500 0.000
0.000 0.000 0.500
0.500 0.000 0.000
```

## Properties
The calculation puts the formation energy at 7.06 eV per formula unit.

No. 4
MgInSb: single point on PBEsol structure, meta-GGA SCAN.

The structure in POSCAR format:
```
MgInSb
1.0
4.875 0.000 0.000
2.438 4.222 0.000
2.438 1.407 3.981
Sb Mg In
1 1 1
Direct
0.000 0.000 0.000
0.750 0.750 0.750
0.500 0.500 0.500
```

## Properties
The uncorrected formation energy is -0.13 eV/atom.

No. 5
AgB2HS: single point on PBEsol structure, meta-GGA SCAN.

The structure in POSCAR format:
```
AgB2HS
1.0
3.019 0.000 0.000
0.000 4.041 0.000
0.000 0.000 4.041
H S B Ag
1 1 2 1
Direct
0.500 0.000 0.000
0.000 0.000 0.000
0.000 0.000 0.500
0.000 0.500 0.000
0.500 0.500 0.500
```

## Properties
Its total energy is -10.66 eV per atom.

No. 6
ScP2BrO: single point on PBEsol structure, meta-GGA SCAN.

The structure in POSCAR format:
```
ScP2BrO
1.0
3.847 0.000 0.000
0.000 5.137 0.000
0.000 0.000 5.137
Sc P O Br
1 2 1 1
Direct
0.000 0.000 0.000
0.000 0.000 0.500
0.000 0.500 0.000
0.500 0.000 0.000
0.500 0.500 0.500
```

## Properties
The uncorrected formation energy is -0.18 eV/atom.

No. 7
Ca4MgAl3: single point on PBEsol structure, meta-GGA SCAN.

The structure in POSCAR format:
```
Ca4MgAl3
1.0
5.791 0.000 0.000
0.000 6.116 0.000
0.000 0.000 23.999
Al Ca Mg
12 16 4
Direct
0.750 0.415 0.677
0.250 0.585 0.323
0.750 0.585 0.177
0.250 0.415 0.823
0.750 0.740 0.924
0.250 0.260 0.076
0.750 0.260 0.424
0.250 0.740 0.576
0.000 0.168 0.750
0.500 0.832 0.250
0.000 0.832 0.250
0.500 0.168 0.750
0.750 0.242 0.877
0.250 0.758 0.123
0.750 0.758 0.377
0.250 0.242 0.623
0.750 0.684 0.790
0.250 0.316 0.210
0.750 0.316 0.290
0.250 0.684 0.710
0.750 0.081 0.142
0.250 0.919 0.858
0.750 0.919 0.642
0.250 0.081 0.358
0.750 0.504 0.046
0.250 0.496 0.954
0.750 0.496 0.546
0.250 0.504 0.454
0.000 0.000 0.000
0.500 0.000 0.000
0.500 0.000 0.500
0.000 0.000 0.500
```

## Properties
The calculation puts the formation energy at -1.81 eV per formula unit.

No. 8
BaCu2Si2O7: single point on PBEsol structure, meta-GGA SCAN.

The structure in POSCAR format:
```
BaCu2Si2O7
1.0
6.733 0.000 0.000
0.000 7.052 0.000
0.000 0.000 13.000
Ba Cu Si O
4 8 8 28
Direct
0.003 0.031 0.750
0.503 0.469 0.750
0.497 0.531 0.250
0.997 0.969 0.250
0.229 0.779 0.497
0.729 0.721 0.003
0.271 0.279 0.503
0.771 0.221 0.997
0.771 0.221 0.503
0.271 0.279 0.997
0.729 0.721 0.497
0.229 0.779 0.003
0.000 0.484 0.367
0.500 0.016 0.133
0.500 0.984 0.633
0.000 0.516 0.867
0.000 0.516 0.633
0.500 0.984 0.867
0.500 0.016 0.367
0.000 0.484 0.133
0.187 0.523 0.447
0.687 0.977 0.053
0.313 0.023 0.553
0.813 0.477 0.947
0.813 0.477 0.553
0.313 0.023 0.947
0.687 0.977 0.447
0.187 0.523 0.053
0.910 0.271 0.379
0.410 0.229 0.121
0.590 0.771 0.621
0.090 0.729 0.879
0.090 0.729 0.621
0.590 0.771 0.879
0.410 0.229 0.379
0.910 0.271 0.121
0.835 0.655 0.366
0.335 0.845 0.134
0.665 0.155 0.634
0.165 0.345 0.866
0.102 0.496 0.250
0.602 0.004 0.250
0.398 0.996 0.750
0.898 0.504 0.750
0.835 0.655 0.134
0.335 0.845 0.366
0.665 0.155 0.866
0.165 0.345 0.634
```

## Properties
The uncorrected formation energy is -2.34 eV/atom.

Calculated values (μB per formula unit) of total magnetic moment for the records, taken in order: 0.25; 0.00; 0.00; 0.00; 0.00; 0.00; 0.05; 0.00.